The following is a DFT calculation (PBE) of a relaxed structure of Mn2TlRe.

abc: 3.0376 4.5019 9.0895
angles: 90.00 90.00 90.00
Last column: nearest neighbours and their distance in Å.
Space group Imm2 (No. 44)
Unique sites:
Mn (0.0000, 0.0000, 0.0000) x2  2 Re 2.53, 2 Mn 2.65, 4 Tl 2.72
Mn (0.0000, 0.5000, 0.2606) x2  2 Mn 2.65, 4 Re 2.74, 2 Tl 2.85
Tl (0.0000, 0.0000, 0.4953) x2  6 Mn 2.72-2.85, 2 Re 2.91, 2 Tl 3.04
Re (0.0000, 0.5000, 0.7223) x2  6 Mn 2.53-2.74

Calculated formation energy, meV/atom: 591
Energy relative to the lowest polymorph listed for this composition, eV per atom: 0.186

---

The following is a DFT calculation (PBE) of a relaxed structure of Mn2TlRe.

abc: 6.3049 6.3049 6.3049
angles: 90.00 90.00 90.00
Last column: nearest neighbours and their distance in Å.
Space group F-43m (No. 216)
Unique sites:
Mn (0.0000, 0.0000, 0.0000) x4  4 Tl 2.73, 4 Mn 2.73
Mn (0.2500, 0.2500, 0.2500) x4  4 Mn 2.73, 4 Re 2.73
Tl (0.2500, 0.2500, 0.7500) x4  4 Mn 2.73, 4 Re 2.73
Re (0.0000, 0.0000, 0.5000) x4  4 Mn 2.73, 4 Tl 2.73

Calculated formation energy, meV/atom: 704
Energy relative to the lowest polymorph listed for this composition, eV per atom: 0.299

---

> Which value of energy relative to the lowest polymorph listed for this composition does entry 2 give?

0.299 eV per atom